A plane-wave DFT calculation with PBE was carried out for an optimized crystal structure of YCoPb.

Output
The magnetization comes out at 0.375 μB per atom. The energy of formation comes out at -131 meV/atom.

Cell lengths 4.607, 4.607, 4.607 Å; angles 60.00, 60.00, 60.00 degrees
Positions (direct):
Y 0.000 0.000 0.000
Co 0.750 0.750 0.750
Pb 0.500 0.500 0.500